(1)
The following is a DFT calculation (GGA-PBE) of an optimized crystal structure of Rb2PPt2.

For the formation energy from the elements, the calculation gives -0.30 eV per atom.

The space group is C2/c (No. 15) and the conventional cell measures 9.747, 7.123 and 7.660 Å, with angles of 90.00, 96.42 and 90.00 degrees. The inequivalent atoms are Rb at (0.147, 0.107, 0.135), P at (0.000, 0.472, 0.750) and Pt at (0.112, 0.375, 0.507).

(2)
The following is a DFT calculation (GGA-PBE) of an optimized crystal structure of Cs2Pa2CrSe6.

For the formation energy from raw total energies, the calculation gives -1.1827 eV per atom.

The space group is C2/m (No. 12) and the conventional cell measures 7.119, 12.336 and 8.929 Å, with angles of 90.00, 105.06 and 90.00 degrees. The inequivalent atoms are Cs at (0.000, 0.165, 0.000), Pa at (0.000, 0.334, 0.500), Cr at (0.000, 0.000, 0.500), Se at (0.226, 0.166, 0.681) and Se at (0.232, 0.500, 0.679).

(3)
The following is a DFT calculation (GGA-PBE) of an optimized crystal structure of Pa3Sn5S12.

For the formation energy from raw total energies, the calculation gives -0.7573 eV per atom.

The space group is Ia-3d (No. 230) and the conventional cell measures 16.090, 16.090 and 16.090 Å, with angles of 90.00, 90.00 and 90.00 degrees. The inequivalent atoms are Pa at (0.000, 0.250, 0.125), Sn at (0.000, 0.000, 0.000), Sn at (0.000, 0.250, 0.375) and S at (0.013, 0.071, 0.656).

(4)
The following is a DFT calculation (GGA-PBE) of an optimized crystal structure of MnBe3Sn.

For the formation energy from the elements, the calculation gives 0.83 eV per atom.

The space group is Pm-3m (No. 221) and the conventional cell measures 4.130, 4.130 and 4.130 Å, with angles of 90.00, 90.00 and 90.00 degrees. The inequivalent atoms are Mn at (0.000, 0.000, 0.000), Be at (0.000, 0.000, 0.500) and Sn at (0.500, 0.500, 0.500).

(5)
The following is a DFT calculation (GGA-PBE) of an optimized crystal structure of Ac4TbTl5.

For the formation energy from the elements, the calculation gives -0.35 eV per atom.

The space group is P4/mmm (No. 123) and the conventional cell measures 3.985, 3.985 and 21.206 Å, with angles of 90.00, 90.00 and 90.00 degrees. The inequivalent atoms are Ac at (0.000, 0.000, 0.105), Ac at (0.000, 0.000, 0.312), Tb at (0.000, 0.000, 0.500), Tl at (0.500, 0.500, 0.000), Tl at (0.500, 0.500, 0.210) and Tl at (0.500, 0.500, 0.417).

(6)
The following is a DFT calculation (GGA-PBE) of an optimized crystal structure of CaLaCo.

For the formation energy from the elements, the calculation gives 0.15 eV per atom.

The space group is F-43m (No. 216) and the conventional cell measures 6.863, 6.863 and 6.863 Å, with angles of 90.00, 90.00 and 90.00 degrees. The inequivalent atoms are Ca at (0.000, 0.000, 0.000), La at (0.000, 0.000, 0.500) and Co at (0.250, 0.250, 0.250).

| no. | calculated total energy (eV per atom) | total magnetic moment (μB per atom) |
| --- | --- | --- |
| 1 | -4.19 | 0.000 |
| 2 | -5.84 | 0.547 |
| 3 | -5.66 | 0.069 |
| 4 | -4.04 | 0.239 |
| 5 | -3.64 | 0.000 |
| 6 | -4.53 | 0.000 |